(1)
A plane-wave DFT calculation with GGA-PBE was carried out for InHgSe2 after structural relaxation.

POSCAR file:
```
InHgSe2
1.0
-1.000 -0.334 -6.336
0.526 -6.396 0.254
-6.497 -3.839 -2.027
Hg Se In
2 4 2
direct
0.000 0.000 0.000
0.750 0.250 0.500
0.613 0.125 0.250
0.375 0.387 0.750
0.875 0.863 0.750
0.137 0.625 0.250
0.500 0.500 0.000
0.250 0.750 0.500
```

Calculated values
D(E_F): 0.3240 states/eV per atom
Raw formation energy: -0.2794 eV/atom
Uncorrected energy: -2.78 eV per atom

---

(2)
A plane-wave DFT calculation with GGA-PBE was carried out for AlBiS2Cl after structural relaxation.

POSCAR file:
```
AlBiS2Cl
1.0
5.248 0.000 0.000
0.000 5.248 0.000
0.000 0.000 5.488
Bi Al S Cl
1 1 2 1
direct
0.000 0.000 0.000
0.500 0.500 0.500
0.000 0.500 0.000
0.500 0.000 0.000
0.000 0.000 0.500
```

Calculated values
Offset from the most stable computed form: 0.556 eV/atom
D(E_F): 0.4752 states/eV per atom
Raw formation energy: 0.1290 eV/atom
Uncorrected energy: -3.42 eV per atom